# 1
This record from the Alexandria database describes Sr12Ga3Cl5 after structural relaxation. The functional is PBE.

Geometry as POSCAR:
```
Sr12Ga3Cl5
1.0
15.961 0.000 0.000
-5.320 15.048 0.000
-5.320 -7.524 13.032
Sr Ga Cl
48 12 20
Cartesian
1.500 1.076 7.704 Sr
6.480 -1.076 7.704 Sr
8.017 13.396 0.604 Sr
3.174 9.547 1.128 Sr
5.834 -1.989 11.844 Sr
-1.160 8.600 5.328 Sr
10.678 -3.459 8.248 Sr
-3.343 8.513 10.111 Sr
-2.146 -0.035 10.715 Sr
-1.500 5.152 11.300 Sr
-4.638 6.785 7.120 Sr
8.017 4.065 4.784 Sr
3.343 1.727 4.199 Sr
2.623 9.937 5.388 Sr
6.003 6.535 10.111 Sr
-0.514 5.501 1.128 Sr
1.977 5.797 8.832 Sr
2.697 -2.413 7.644 Sr
0.683 9.251 8.832 Sr
-5.283 5.873 12.428 Sr
6.821 2.372 1.732 Sr
2.146 -2.023 11.904 Sr
4.638 -1.727 4.199 Sr
8.663 -0.989 2.920 Sr
-0.514 9.513 1.188 Sr
11.155 7.489 2.316 Sr
9.958 0.738 5.912 Sr
2.146 1.989 11.844 Sr
0.037 5.111 5.388 Sr
9.481 -5.152 11.300 Sr
-6.480 4.076 9.436 Sr
-0.683 0.989 2.920 Sr
10.603 1.651 0.604 Sr
-4.161 12.676 1.732 Sr
5.283 2.413 7.644 Sr
-2.697 3.459 8.248 Sr
-1.500 -4.076 9.436 Sr
7.298 8.262 7.120 Sr
-5.357 10.983 4.784 Sr
-1.977 -0.739 5.912 Sr
3.820 6.448 5.328 Sr
-2.697 -5.873 12.428 Sr
7.466 7.559 2.316 Sr
11.800 3.448 3.596 Sr
6.821 11.600 3.596 Sr
-5.834 0.035 10.715 Sr
5.834 2.023 11.904 Sr
3.174 5.535 1.188 Sr
9.310 4.702 1.629 Ga
3.990 0.000 9.774 Ga
-1.330 6.583 8.145 Ga
-3.990 2.821 11.403 Ga
-6.650 7.524 9.774 Ga
11.971 0.000 3.258 Ga
6.650 0.940 4.887 Ga
1.330 -0.940 4.887 Ga
-3.990 -2.821 11.403 Ga
1.330 7.524 3.258 Ga
3.990 8.464 8.145 Ga
9.310 10.345 1.629 Ga
6.650 6.583 4.887 Cl
-1.330 12.226 1.629 Cl
6.650 -4.702 11.403 Cl
-2.660 -3.762 6.516 Cl
-1.330 3.762 3.258 Cl
0.000 0.000 0.000 Cl
-2.660 7.524 0.000 Cl
9.310 -0.940 8.145 Cl
5.320 -3.762 6.516 Cl
7.980 0.000 0.000 Cl
-1.330 0.940 8.145 Cl
-3.990 8.464 4.887 Cl
1.330 -3.762 9.774 Cl
1.330 4.702 11.403 Cl
3.990 11.286 3.258 Cl
5.320 7.524 0.000 Cl
-5.320 3.762 6.516 Cl
2.660 3.762 6.516 Cl
6.650 3.762 9.774 Cl
3.990 2.821 1.629 Cl
```

Results
SG ... Ia-3d (230)
Total magnetization ... 2.00 μB/f.u.
ρ ... 3.05 g/cm³
VASP energy ... -2.83 eV per atom

***

# 2
This record from the Alexandria database describes SrGa2Cl8 after structural relaxation. The functional is PBE.

Geometry as POSCAR:
```
SrGa2Cl8
1.0
-1.912 2.292 9.640
4.499 -5.562 7.497
8.080 3.792 5.983
Sr Ga Cl
2 4 16
Cartesian
5.330 3.677 15.713 Sr
5.337 -3.155 7.407 Sr
9.860 0.693 20.239 Ga
6.155 0.072 14.370 Ga
4.512 0.449 8.751 Ga
0.807 -0.171 2.881 Ga
6.318 -1.120 16.234 Cl
7.413 1.890 14.559 Cl
11.607 -1.432 15.020 Cl
3.968 4.599 13.232 Cl
4.062 0.959 14.612 Cl
10.357 0.899 18.178 Cl
2.968 -3.527 5.577 Cl
7.699 4.049 17.544 Cl
3.254 -1.369 8.562 Cl
6.422 -1.050 12.578 Cl
4.349 1.641 6.887 Cl
6.699 -4.077 9.889 Cl
0.310 -0.378 4.943 Cl
4.245 1.571 10.542 Cl
6.605 -0.437 8.509 Cl
-0.940 1.953 8.101 Cl
```

Results
SG ... C2/c (15)
Total magnetization ... 0.16 μB/f.u.
ρ ... 2.14 g/cm³
VASP energy ... -3.56 eV per atom

***

# 3
This record from the Alexandria database describes Sr2GaTeCl after structural relaxation. The functional is PBE.

Geometry as POSCAR:
```
Sr2GaTeCl
1.0
6.303 0.000 0.000
0.000 5.616 0.000
0.000 0.000 6.303
Ga Sr Te Cl
1 2 1 1
Cartesian
3.152 2.808 3.152 Ga
3.152 0.000 0.000 Sr
0.000 0.000 3.152 Sr
0.000 0.000 0.000 Te
0.000 2.808 0.000 Cl
```

Results
SG ... P4/mmm (123)
Total magnetization ... 0.39 μB/f.u.
ρ ... 3.04 g/cm³
VASP energy ... -2.65 eV per atom

***

# 4
This record from the Alexandria database describes SrTlGa2Cl8 after structural relaxation. The functional is PBE.

Geometry as POSCAR:
```
SrTlGa2Cl8
1.0
6.757 0.000 0.000
-3.378 5.852 0.000
0.000 0.000 9.880
Cl Ga Sr Tl
8 2 1 1
Cartesian
4.462 3.905 3.053 Cl
-1.083 1.946 6.827 Cl
3.378 1.951 0.118 Cl
1.144 1.911 3.053 Cl
-1.151 5.817 6.827 Cl
4.530 0.035 3.053 Cl
0.000 3.901 9.763 Cl
2.235 3.940 6.827 Cl
0.000 3.901 7.522 Ga
3.378 1.951 2.358 Ga
0.000 0.000 4.940 Sr
0.000 0.000 0.000 Tl
```

Results
SG ... P-3 (147)
Total magnetization ... 0.94 μB/f.u.
ρ ... 3.04 g/cm³
VASP energy ... -3.36 eV per atom

***

# 5
This record from the Alexandria database describes SrVGa2Cl after structural relaxation. The functional is PBE.

Geometry as POSCAR:
```
SrVGa2Cl
1.0
5.904 0.000 0.000
0.000 5.054 0.000
0.000 0.000 5.904
Cl Ga V Sr
1 2 1 1
Cartesian
2.952 2.527 2.952 Cl
2.952 0.000 0.000 Ga
0.000 0.000 2.952 Ga
0.000 2.527 0.000 V
0.000 0.000 0.000 Sr
```

Results
SG ... P4/mmm (123)
Total magnetization ... 0.00 μB/f.u.
ρ ... 2.95 g/cm³
VASP energy ... -2.31 eV per atom

***

# 6
This record from the Alexandria database describes TaGa3Cl after structural relaxation. The functional is PBE.

Geometry as POSCAR:
```
TaGa3Cl
1.0
5.208 0.000 0.000
0.000 5.208 0.000
0.000 0.000 5.208
Ta Ga Cl
1 3 1
Cartesian
0.000 0.000 0.000 Ta
0.000 2.604 0.000 Ga
2.604 0.000 0.000 Ga
0.000 0.000 2.604 Ga
2.604 2.604 2.604 Cl
```

Results
SG ... Pm-3m (221)
Total magnetization ... 3.10 μB/f.u.
ρ ... 5.00 g/cm³
VASP energy ... -4.01 eV per atom

***

Number 5 is which compound?
SrVGa2Cl